Entry 1:
# Pm4Dy15In

Crystalline Pm4Dy15In at its relaxed geometry (PBE, the Alexandria database).

- space group = P4/mmm (123)
- E_tot (eV/atom) = -4.5700
- calculated volume (Å³/f.u.) = 628.5
- D(E_F) (states/eV per atom) = 1.201

Cell lengths 4.9890, 4.9890, 25.2490 Å; angles 90.00, 90.00, 90.00 degrees
Last column: nearest neighbours and their distance in Å.
Fractional coordinates of all 20 atoms:
Pm (0.0000, 0.0000, 0.1010)  12 Dy 3.53-3.57
Pm (0.0000, 0.0000, 0.3024)  12 Dy 3.53-3.58
Pm (0.0000, 0.0000, 0.6976)  12 Dy 3.53-3.58
Pm (0.0000, 0.0000, 0.8990)  12 Dy 3.53-3.57
Dy (0.0000, 0.5000, 0.0000)  8 Dy 3.53-3.58, 4 Pm 3.57
Dy (0.0000, 0.5000, 0.2020)  8 Dy 3.53-3.61, 4 Pm 3.56-3.57
Dy (0.0000, 0.5000, 0.4043)  2 In 3.47, 8 Dy 3.47-3.53, 2 Pm 3.58
Dy (0.0000, 0.5000, 0.5957)  2 In 3.47, 8 Dy 3.47-3.53, 2 Pm 3.58
Dy (0.0000, 0.5000, 0.7980)  8 Dy 3.53-3.61, 4 Pm 3.56-3.57
Dy (0.5000, 0.0000, 0.0000)  8 Dy 3.53-3.58, 4 Pm 3.57
Dy (0.5000, 0.0000, 0.2020)  8 Dy 3.53-3.61, 4 Pm 3.56-3.57
Dy (0.5000, 0.0000, 0.4043)  2 In 3.47, 8 Dy 3.47-3.53, 2 Pm 3.58
Dy (0.5000, 0.0000, 0.5957)  2 In 3.47, 8 Dy 3.47-3.53, 2 Pm 3.58
Dy (0.5000, 0.0000, 0.7980)  8 Dy 3.53-3.61, 4 Pm 3.56-3.57
Dy (0.5000, 0.5000, 0.1016)  4 Pm 3.53, 8 Dy 3.56-3.58
Dy (0.5000, 0.5000, 0.3052)  4 Pm 3.53, 8 Dy 3.53-3.61
Dy (0.5000, 0.5000, 0.5000)  8 Dy 3.47, 4 In 3.53
Dy (0.5000, 0.5000, 0.6948)  4 Pm 3.53, 8 Dy 3.53-3.61
Dy (0.5000, 0.5000, 0.8984)  4 Pm 3.53, 8 Dy 3.56-3.58
In (0.0000, 0.0000, 0.5000)  12 Dy 3.47-3.53

Entry 2:
# Pm8DyIn2

Crystalline Pm8DyIn2 at its relaxed geometry (PBE, the Alexandria database).

- space group = C2/m (12)
- E_tot (eV/atom) = -4.4559
- calculated volume (Å³/f.u.) = 356.3
- D(E_F) (states/eV per atom) = 1.467

Cell lengths 9.3230, 9.3230, 6.2135 Å; angles 102.11, 102.11, 42.62 degrees
Last column: nearest neighbours and their distance in Å.
Fractional coordinates of all 11 atoms:
Pm (0.0017, 0.0017, 0.2413)  2 Pm 2.99-3.23
Pm (0.0676, 0.5875, 0.3903)  4 Pm 3.25-3.58, 3 In 3.30-3.56, 1 Dy 3.41
Pm (0.3648, 0.3648, 0.9233)  3 In 3.47-3.65, 6 Pm 3.58-3.83, 1 Dy 3.82
Pm (0.4125, 0.9324, 0.6097)  4 Pm 3.25-3.58, 3 In 3.30-3.56, 1 Dy 3.41
Pm (0.5875, 0.0676, 0.3903)  4 Pm 3.25-3.58, 3 In 3.30-3.56, 1 Dy 3.41
Pm (0.6352, 0.6352, 0.0767)  3 In 3.47-3.65, 6 Pm 3.58-3.83, 1 Dy 3.82
Pm (0.9324, 0.4125, 0.6097)  4 Pm 3.25-3.58, 3 In 3.30-3.56, 1 Dy 3.41
Pm (0.9983, 0.9983, 0.7587)  2 Pm 2.99-3.23
Dy (0.5000, 0.5000, 0.5000)  10 Pm 3.41-3.82
In (0.1790, 0.1790, 0.1041)  11 Pm 3.30-3.65
In (0.8210, 0.8210, 0.8959)  11 Pm 3.30-3.65

Entry 3:
# PmDyIn4

Crystalline PmDyIn4 at its relaxed geometry (PBE, the Alexandria database).

- space group = Cmmm (65)
- E above lowest polymorph (meV per atom) = 131
- E_tot (eV/atom) = -3.6750
- calculated volume (Å³/f.u.) = 160.8
- D(E_F) (states/eV per atom) = 0.794

Cell lengths 3.6353, 3.6353, 12.1836 Å; angles 90.00, 90.00, 93.15 degrees
Last column: nearest neighbours and their distance in Å.
Fractional coordinates of all 6 atoms:
Pm (0.0000, 0.0000, 0.0000)  8 In 3.32-3.42, 4 Pm 3.64
Dy (0.5000, 0.5000, 0.5000)  8 In 3.25-3.36, 4 Dy 3.64
In (0.0000, 0.0000, 0.3294)  4 In 3.10-3.21, 4 Dy 3.25-3.36
In (0.0000, 0.0000, 0.6706)  4 In 3.10-3.21, 4 Dy 3.25-3.36
In (0.5000, 0.5000, 0.1789)  4 In 3.10-3.21, 4 Pm 3.32-3.42
In (0.5000, 0.5000, 0.8211)  4 In 3.10-3.21, 4 Pm 3.32-3.42

Entry 4:
# Pm2DyIn9

Crystalline Pm2DyIn9 at its relaxed geometry (PBE, the Alexandria database).

- space group = P4/mmm (123)
- E_tot (eV/atom) = -3.6792
- calculated volume (Å³/f.u.) = 307.0
- D(E_F) (states/eV per atom) = 0.396

Cell lengths 4.6781, 4.6781, 14.0295 Å; angles 90.00, 90.00, 90.00 degrees
Last column: nearest neighbours and their distance in Å.
Fractional coordinates of all 12 atoms:
Pm (0.0000, 0.0000, 0.1679)  12 In 3.31-3.32
Pm (0.0000, 0.0000, 0.8321)  12 In 3.31-3.32
Dy (0.0000, 0.0000, 0.5000)  12 In 3.28-3.31
In (0.0000, 0.5000, 0.0000)  8 In 3.31, 4 Pm 3.32
In (0.0000, 0.5000, 0.3361)  8 In 3.28-3.33, 2 Dy 3.28, 2 Pm 3.32
In (0.0000, 0.5000, 0.6639)  8 In 3.28-3.33, 2 Dy 3.28, 2 Pm 3.32
In (0.5000, 0.0000, 0.0000)  8 In 3.31, 4 Pm 3.32
In (0.5000, 0.0000, 0.3361)  8 In 3.28-3.33, 2 Dy 3.28, 2 Pm 3.32
In (0.5000, 0.0000, 0.6639)  8 In 3.28-3.33, 2 Dy 3.28, 2 Pm 3.32
In (0.5000, 0.5000, 0.1672)  4 Pm 3.31, 8 In 3.31-3.33
In (0.5000, 0.5000, 0.5000)  8 In 3.28, 4 Dy 3.31
In (0.5000, 0.5000, 0.8328)  4 Pm 3.31, 8 In 3.31-3.33

Entry 5:
# Pm9Dy4In11

Crystalline Pm9Dy4In11 at its relaxed geometry (PBE, the Alexandria database).

- space group = Cmmm (65)
- E_tot (eV/atom) = -4.2120
- calculated volume (Å³/f.u.) = 679.9
- D(E_F) (states/eV per atom) = 0.830

Cell lengths 13.9835, 13.9835, 3.5270 Å; angles 90.00, 90.00, 99.66 degrees
Last column: nearest neighbours and their distance in Å.
Fractional coordinates of all 24 atoms:
Pm (0.0000, 0.0000, 0.0000)  4 Dy 3.29, 4 In 3.40, 2 Pm 3.53
Pm (0.1253, 0.6428, 0.0000)  8 In 3.35-3.54, 1 Dy 3.42, 3 Pm 3.53-3.67
Pm (0.2916, 0.4661, 0.0000)  8 In 3.30-3.41, 3 Pm 3.53-3.67
Pm (0.3572, 0.8747, 0.0000)  8 In 3.35-3.54, 1 Dy 3.42, 3 Pm 3.53-3.67
Pm (0.4661, 0.2916, 0.0000)  8 In 3.30-3.41, 3 Pm 3.53-3.67
Pm (0.5339, 0.7084, 0.0000)  8 In 3.30-3.41, 3 Pm 3.53-3.67
Pm (0.6428, 0.1253, 0.0000)  8 In 3.35-3.54, 1 Dy 3.42, 3 Pm 3.53-3.67
Pm (0.7084, 0.5339, 0.0000)  8 In 3.30-3.41, 3 Pm 3.53-3.67
Pm (0.8747, 0.3572, 0.0000)  8 In 3.35-3.54, 1 Dy 3.42, 3 Pm 3.53-3.67
Dy (0.0684, 0.2368, 0.0000)  6 In 3.20-3.45, 2 Pm 3.29-3.42, 2 Dy 3.53
Dy (0.2368, 0.0684, 0.0000)  6 In 3.20-3.45, 2 Pm 3.29-3.42, 2 Dy 3.53
Dy (0.7632, 0.9316, 0.0000)  6 In 3.20-3.45, 2 Pm 3.29-3.42, 2 Dy 3.53
Dy (0.9316, 0.7632, 0.0000)  6 In 3.20-3.45, 2 Pm 3.29-3.42, 2 Dy 3.53
In (0.0797, 0.4324, 0.5000)  3 In 3.16-3.53, 2 Dy 3.24, 6 Pm 3.38-3.41
In (0.1360, 0.8640, 0.5000)  6 Pm 3.40-3.54, 4 Dy 3.45, 2 In 3.53
In (0.2623, 0.2623, 0.5000)  4 Dy 3.20, 4 Pm 3.32, 2 In 3.53
In (0.3318, 0.6682, 0.5000)  8 Pm 3.30-3.35, 3 In 3.53-3.59
In (0.4324, 0.0797, 0.5000)  3 In 3.16-3.53, 2 Dy 3.24, 6 Pm 3.38-3.41
In (0.5000, 0.5000, 0.5000)  8 Pm 3.37, 4 In 3.53-3.59
In (0.5676, 0.9203, 0.5000)  3 In 3.16-3.53, 2 Dy 3.24, 6 Pm 3.38-3.41
In (0.6682, 0.3318, 0.5000)  8 Pm 3.30-3.35, 3 In 3.53-3.59
In (0.7377, 0.7377, 0.5000)  4 Dy 3.20, 4 Pm 3.32, 2 In 3.53
In (0.8640, 0.1360, 0.5000)  6 Pm 3.40-3.54, 4 Dy 3.45, 2 In 3.53
In (0.9203, 0.5676, 0.5000)  3 In 3.16-3.53, 2 Dy 3.24, 6 Pm 3.38-3.41

Entry 6:
# Pm12Dy7In

Crystalline Pm12Dy7In at its relaxed geometry (PBE, the Alexandria database).

- space group = R-3m (166)
- E above lowest polymorph (meV per atom) = 0
- E_tot (eV/atom) = -4.4401
- calculated volume (Å³/f.u.) = 686.9
- D(E_F) (states/eV per atom) = 1.290

Cell lengths 8.8936, 8.8936, 8.8936 Å; angles 82.52, 82.52, 82.52 degrees
Last column: nearest neighbours and their distance in Å.
Fractional coordinates of all 20 atoms:
Pm (0.0381, 0.0381, 0.6531)  1 Dy 3.04, 2 Pm 3.07-3.35
Pm (0.0381, 0.6531, 0.0381)  1 Dy 3.04, 2 Pm 3.07-3.35
Pm (0.2843, 0.2843, 0.6828)  1 In 3.06, 1 Pm 3.35
Pm (0.2843, 0.6828, 0.2843)  1 In 3.06, 1 Pm 3.35
Pm (0.3172, 0.7157, 0.7157)  1 In 3.06, 1 Pm 3.35
Pm (0.3469, 0.9619, 0.9619)  1 Dy 3.04, 2 Pm 3.07-3.35
Pm (0.6531, 0.0381, 0.0381)  1 Dy 3.04, 2 Pm 3.07-3.35
Pm (0.6828, 0.2843, 0.2843)  1 In 3.06, 1 Pm 3.35
Pm (0.7157, 0.3172, 0.7157)  1 In 3.06, 1 Pm 3.35
Pm (0.7157, 0.7157, 0.3172)  1 In 3.06, 1 Pm 3.35
Pm (0.9619, 0.3469, 0.9619)  1 Dy 3.04, 2 Pm 3.07-3.35
Pm (0.9619, 0.9619, 0.3469)  1 Dy 3.04, 2 Pm 3.07-3.35
Dy (0.0000, 0.0000, 0.0000)  6 Pm 3.04
Dy (0.0458, 0.3610, 0.3610)  7 Pm 3.55-3.74, 3 Dy 3.66-3.70
Dy (0.3610, 0.0458, 0.3610)  7 Pm 3.55-3.74, 3 Dy 3.66-3.70
Dy (0.3610, 0.3610, 0.0458)  7 Pm 3.55-3.74, 3 Dy 3.66-3.70
Dy (0.6390, 0.6390, 0.9542)  7 Pm 3.55-3.74, 3 Dy 3.66-3.70
Dy (0.6390, 0.9542, 0.6390)  7 Pm 3.55-3.74, 3 Dy 3.66-3.70
Dy (0.9542, 0.6390, 0.6390)  7 Pm 3.55-3.74, 3 Dy 3.66-3.70
In (0.5000, 0.5000, 0.5000)  6 Pm 3.06

Entry 7:
# PmDy6In5

Crystalline PmDy6In5 at its relaxed geometry (PBE, the Alexandria database).

- space group = C2/m (12)
- E above lowest polymorph (meV per atom) = 146
- E_tot (eV/atom) = -4.0739
- calculated volume (Å³/f.u.) = 346.4
- D(E_F) (states/eV per atom) = 1.125

Cell lengths 6.2252, 6.2252, 10.5995 Å; angles 95.74, 95.74, 120.58 degrees
Last column: nearest neighbours and their distance in Å.
Fractional coordinates of all 12 atoms:
Pm (0.0000, 0.0000, 0.0000)  6 Dy 3.43-3.46, 6 In 3.56-3.59
Dy (0.0864, 0.4349, 0.2604)  5 In 3.21-3.38, 1 Pm 3.46, 4 Dy 3.49-3.53
Dy (0.2637, 0.2637, 0.7445)  5 In 3.22-3.36, 1 Pm 3.43, 4 Dy 3.50-3.53
Dy (0.4349, 0.0864, 0.2604)  5 In 3.21-3.38, 1 Pm 3.46, 4 Dy 3.49-3.53
Dy (0.5651, 0.9136, 0.7396)  5 In 3.21-3.38, 1 Pm 3.46, 4 Dy 3.49-3.53
Dy (0.7363, 0.7363, 0.2555)  5 In 3.22-3.36, 1 Pm 3.43, 4 Dy 3.50-3.53
Dy (0.9136, 0.5651, 0.7396)  5 In 3.21-3.38, 1 Pm 3.46, 4 Dy 3.49-3.53
In (0.1601, 0.8399, 0.5000)  6 Dy 3.21-3.27, 3 In 3.46-3.54
In (0.3296, 0.6704, 0.0000)  6 Dy 3.35-3.38, 3 In 3.53-3.69, 3 Pm 3.56-3.59
In (0.5000, 0.5000, 0.5000)  6 Dy 3.22-3.27, 4 In 3.54
In (0.6704, 0.3296, 0.0000)  6 Dy 3.35-3.38, 3 In 3.53-3.69, 3 Pm 3.56-3.59
In (0.8399, 0.1601, 0.5000)  6 Dy 3.21-3.27, 3 In 3.46-3.54

Entry 8:
# Pm4Dy5In

Crystalline Pm4Dy5In at its relaxed geometry (PBE, the Alexandria database).

- space group = P4/mmm (123)
- E above lowest polymorph (meV per atom) = 0
- E_tot (eV/atom) = -4.4642
- calculated volume (Å³/f.u.) = 315.6
- D(E_F) (states/eV per atom) = 1.661

Cell lengths 4.1576, 4.1576, 18.2579 Å; angles 90.00, 90.00, 90.00 degrees
Last column: nearest neighbours and their distance in Å.
Fractional coordinates of all 10 atoms:
Pm (0.0000, 0.0000, 0.1021)  8 Dy 3.48-3.51, 2 Pm 3.68-3.73
Pm (0.0000, 0.0000, 0.3038)  8 Dy 3.43-3.54, 1 In 3.58, 1 Pm 3.68
Pm (0.0000, 0.0000, 0.6962)  8 Dy 3.43-3.54, 1 In 3.58, 1 Pm 3.68
Pm (0.0000, 0.0000, 0.8979)  8 Dy 3.48-3.51, 2 Pm 3.68-3.73
Dy (0.5000, 0.5000, 0.0000)  8 Pm 3.48, 2 Dy 3.78
Dy (0.5000, 0.5000, 0.2071)  8 Pm 3.43-3.51, 2 Dy 3.74-3.78
Dy (0.5000, 0.5000, 0.4122)  1 Dy 3.21, 4 In 3.35, 4 Pm 3.54
Dy (0.5000, 0.5000, 0.5878)  1 Dy 3.21, 4 In 3.35, 4 Pm 3.54
Dy (0.5000, 0.5000, 0.7929)  8 Pm 3.43-3.51, 2 Dy 3.74-3.78
In (0.0000, 0.0000, 0.5000)  8 Dy 3.35, 2 Pm 3.58

Entry 9:
# PmDy6In

Crystalline PmDy6In at its relaxed geometry (PBE, the Alexandria database).

- space group = P4/mmm (123)
- E_tot (eV/atom) = -4.4983
- calculated volume (Å³/f.u.) = 242.5
- D(E_F) (states/eV per atom) = 1.075

Cell lengths 4.9102, 4.9102, 10.0587 Å; angles 90.00, 90.00, 90.00 degrees
Last column: nearest neighbours and their distance in Å.
Fractional coordinates of all 8 atoms:
Pm (0.0000, 0.0000, 0.0000)  12 Dy 3.47-3.57
Dy (0.0000, 0.5000, 0.2577)  8 Dy 3.46-3.57, 2 In 3.46, 2 Pm 3.57
Dy (0.0000, 0.5000, 0.7423)  8 Dy 3.46-3.57, 2 In 3.46, 2 Pm 3.57
Dy (0.5000, 0.0000, 0.2577)  8 Dy 3.46-3.57, 2 In 3.46, 2 Pm 3.57
Dy (0.5000, 0.0000, 0.7423)  8 Dy 3.46-3.57, 2 In 3.46, 2 Pm 3.57
Dy (0.5000, 0.5000, 0.0000)  4 Pm 3.47, 8 Dy 3.57
Dy (0.5000, 0.5000, 0.5000)  8 Dy 3.46, 4 In 3.47
In (0.0000, 0.0000, 0.5000)  12 Dy 3.46-3.47

Entry 10:
# Pm6DyIn2

Crystalline Pm6DyIn2 at its relaxed geometry (PBE, the Alexandria database).

- space group = C2/m (12)
- E above lowest polymorph (meV per atom) = 144
- E_tot (eV/atom) = -4.3583
- calculated volume (Å³/f.u.) = 279.3
- D(E_F) (states/eV per atom) = 1.394

Cell lengths 9.9235, 9.9235, 3.4593 Å; angles 99.98, 99.98, 56.75 degrees
Last column: nearest neighbours and their distance in Å.
Fractional coordinates of all 9 atoms:
Pm (0.1431, 0.5166, 0.8304)  6 Pm 3.24-3.52, 3 In 3.44-3.50
Pm (0.1636, 0.8364, 0.0000)  3 Pm 3.09-3.24
Pm (0.4834, 0.8569, 0.1696)  6 Pm 3.24-3.52, 3 In 3.44-3.50
Pm (0.5166, 0.1431, 0.8304)  6 Pm 3.24-3.52, 3 In 3.44-3.50
Pm (0.8364, 0.1636, 0.0000)  3 Pm 3.09-3.24
Pm (0.8569, 0.4834, 0.1696)  6 Pm 3.24-3.52, 3 In 3.44-3.50
Dy (0.5000, 0.5000, 0.5000)  2 Dy 3.46, 12 Pm 3.61-3.82
In (0.1532, 0.1532, 0.6521)  10 Pm 3.44-3.50, 2 In 3.46
In (0.8468, 0.8468, 0.3479)  10 Pm 3.44-3.50, 2 In 3.46

Entry 11:
# Pm4Dy3In4

Crystalline Pm4Dy3In4 at its relaxed geometry (PBE, the Alexandria database).

- space group = Immm (71)
- E_tot (eV/atom) = -4.2896
- calculated volume (Å³/f.u.) = 332.4
- D(E_F) (states/eV per atom) = 0.943

Cell lengths 10.9192, 10.9192, 10.9192 Å; angles 160.83, 128.73, 55.24 degrees
Last column: nearest neighbours and their distance in Å.
Fractional coordinates of all 11 atoms:
Pm (0.0154, 0.8379, 0.1774)  4 In 3.28-3.30, 3 Pm 3.35-3.64
Pm (0.3395, 0.1621, 0.1774)  4 In 3.28-3.30, 3 Pm 3.35-3.64
Pm (0.6605, 0.8379, 0.8226)  4 In 3.28-3.30, 3 Pm 3.35-3.64
Pm (0.9846, 0.1621, 0.8226)  4 In 3.28-3.30, 3 Pm 3.35-3.64
Dy (0.0000, 0.5000, 0.5000)  4 In 3.22
Dy (0.4059, 0.4059, 0.0000)  6 In 3.12-3.30
Dy (0.5941, 0.5941, 0.0000)  6 In 3.12-3.30
In (0.2746, 0.7746, 0.5000)  2 Dy 3.12, 6 Pm 3.28-3.30
In (0.2808, 0.0000, 0.2808)  6 Dy 3.22-3.30, 2 Pm 3.28
In (0.7192, 0.0000, 0.7192)  6 Dy 3.22-3.30, 2 Pm 3.28
In (0.7254, 0.2254, 0.5000)  2 Dy 3.12, 6 Pm 3.28-3.30

Entry 12:
# Pm3Dy4In4

Crystalline Pm3Dy4In4 at its relaxed geometry (PBE, the Alexandria database).

- space group = Immm (71)
- E_tot (eV/atom) = -4.2429
- calculated volume (Å³/f.u.) = 330.4
- D(E_F) (states/eV per atom) = 1.025

Cell lengths 9.8880, 9.8880, 9.8880 Å; angles 148.84, 138.37, 52.90 degrees
Last column: nearest neighbours and their distance in Å.
Fractional coordinates of all 11 atoms:
Pm (0.0000, 0.0000, 0.0000)  6 In 3.13-3.33
Pm (0.3975, 0.8975, 0.5000)  4 Dy 3.51, 6 In 3.55-3.75, 1 Pm 3.63
Pm (0.6025, 0.1025, 0.5000)  4 Dy 3.51, 6 In 3.55-3.75, 1 Pm 3.63
Dy (0.0561, 0.3210, 0.7351)  4 In 3.13-3.19, 1 Dy 3.31
Dy (0.4141, 0.6790, 0.7351)  4 In 3.13-3.19, 1 Dy 3.31
Dy (0.5859, 0.3210, 0.2649)  4 In 3.13-3.19, 1 Dy 3.31
Dy (0.9439, 0.6790, 0.2649)  4 In 3.13-3.19, 1 Dy 3.31
In (0.1767, 0.1767, 0.0000)  1 Pm 3.13, 6 Dy 3.13-3.16
In (0.2858, 0.5000, 0.7858)  1 In 3.01, 2 Dy 3.19, 2 Pm 3.33
In (0.7142, 0.5000, 0.2142)  1 In 3.01, 2 Dy 3.19, 2 Pm 3.33
In (0.8233, 0.8233, 0.0000)  1 Pm 3.13, 6 Dy 3.13-3.16